No. 1
Compound: K2TbF5
Source: Alexandria via LeMat-Bulk
Functional: PBEsol
Structure: relaxed

Geometry as CIF:
```
data_K2TbF5
_chemical_formula_sum 'K8 Tb4 F20'
_symmetry_space_group_name_H-M 'P n m a'
_symmetry_Int_Tables_number 62
_cell_length_a 10.715
_cell_length_b 7.245
_cell_length_c 6.564
_cell_angle_alpha 90.00
_cell_angle_beta 90.00
_cell_angle_gamma 90.00
loop_
_symmetry_equiv_pos_as_xyz
'x,y,z'
'-x,-y,-z'
'-x+1/2,-y,z+1/2'
'x+1/2,y,-z+1/2'
'x+1/2,-y+1/2,-z+1/2'
'-x+1/2,y+1/2,z+1/2'
'-x,y+1/2,-z'
'x,-y+1/2,z'
loop_
_atom_site_label
_atom_site_type_symbol
_atom_site_fract_x
_atom_site_fract_y
_atom_site_fract_z
K1 K 0.172 0.003 0.034
Tb1 Tb 0.005 0.250 0.562
F1 F 0.012 0.250 0.897
F2 F 0.078 0.535 0.647
F3 F 0.169 0.250 0.367
F4 F 0.193 0.750 0.335
```

No. 2
Compound: K3TbF6
Source: Alexandria via LeMat-Bulk
Functional: PBEsol
Structure: relaxed

Geometry as CIF:
```
data_K3TbF6
_chemical_formula_sum 'K6 Tb2 F12'
_symmetry_space_group_name_H-M 'P 1 21/c 1'
_symmetry_Int_Tables_number 14
_cell_length_a 6.287
_cell_length_b 6.548
_cell_length_c 10.826
_cell_angle_alpha 90.00
_cell_angle_beta 124.19
_cell_angle_gamma 90.00
loop_
_symmetry_equiv_pos_as_xyz
'x,y,z'
'-x,-y,-z'
'-x,y+1/2,-z+1/2'
'x,-y+1/2,z+1/2'
loop_
_atom_site_label
_atom_site_type_symbol
_atom_site_fract_x
_atom_site_fract_y
_atom_site_fract_z
K1 K 0.000 0.000 0.000
K2 K 0.221 0.055 0.742
Tb1 Tb 0.500 0.000 0.500
F1 F 0.169 0.179 0.449
F2 F 0.249 0.731 0.422
F3 F 0.398 0.065 0.275
```

Values of energy relative to the elements, uncorrected, in order: -28.2 -33.4, all in eV per formula unit.